Entry 1:
Computed, not measured: a geometry-optimized CsKCa4 structure at the PBE level of DFT.

Values from the calculation:
* ΔE_f: 1.10 eV/f.u.
* V: 55.944 Å³ per atom

Lattice parameters (Å, degrees): 7.8008 7.8008 7.8008 60.00 60.00 60.00
Last column: nearest neighbours and their distance in Å.
Element x y z (fractional)
Cs: 0.0000 0.0000 0.0000  12 Ca 4.57, 4 K 4.78
K: 0.7500 0.7500 0.7500  12 Ca 4.57, 4 Cs 4.78
Ca: 0.3753 0.3753 0.3753  6 Ca 3.89-3.91
Ca: 0.3753 0.3753 0.8742  6 Ca 3.89-3.91
Ca: 0.3753 0.8742 0.3753  6 Ca 3.89-3.91
Ca: 0.8742 0.3753 0.3753  6 Ca 3.89-3.91

***

Entry 2:
Computed, not measured: a geometry-optimized Cs2KCa2 structure at the PBE level of DFT.

Values from the calculation:
* ΔE to the lowest computed polymorph: 0.1101 eV/atom
* ΔE_f: 1.92 eV/f.u.
* V: 76.630 Å³ per atom

Lattice parameters (Å, degrees): 11.2990 11.2990 11.2990 148.93 148.93 44.52
Last column: nearest neighbours and their distance in Å.
Element x y z (fractional)
Cs: 0.2500 0.7500 0.5000  4 Cs 4.28, 4 Ca 4.55
Cs: 0.7500 0.2500 0.5000  4 Cs 4.28, 4 Ca 4.55
K: 0.0000 0.0000 0.0000  8 Ca 4.65
Ca: 0.4127 0.4127 0.0000  1 Ca 3.65
Ca: 0.5873 0.5873 0.0000  1 Ca 3.65

***

Entry 3:
Computed, not measured: a geometry-optimized CsK4Ca structure at the PBE level of DFT.

Values from the calculation:
* ΔE_f: 0.87 eV/f.u.
* V: 71.052 Å³ per atom

Lattice parameters (Å, degrees): 8.4479 8.4479 8.4479 60.00 60.00 60.00
Last column: nearest neighbours and their distance in Å.
Element x y z (fractional)
Cs: 0.0000 0.0000 0.0000  12 K 4.96, 4 Ca 5.17
K: 0.3762 0.3762 0.3762  6 K 4.18-4.27
K: 0.3762 0.3762 0.8713  6 K 4.18-4.27
K: 0.3762 0.8713 0.3762  6 K 4.18-4.27
K: 0.8713 0.3762 0.3762  6 K 4.18-4.27
Ca: 0.7500 0.7500 0.7500  12 K 4.95, 4 Cs 5.17

***

Entry 4:
Computed, not measured: a geometry-optimized Cs3KCa structure at the PBE level of DFT.

Values from the calculation:
* ΔE to the lowest computed polymorph: 0.0000 eV/atom
* ΔE_f: 1.57 eV/f.u.
* V: 117.062 Å³ per atom

Lattice parameters (Å, degrees): 8.3649 8.3649 8.3649 90.00 90.00 90.00
Last column: nearest neighbours and their distance in Å.
Element x y z (fractional)
Cs: 0.0000 0.0000 0.5000  2 Ca 4.18
Cs: 0.0000 0.5000 0.0000  2 Ca 4.18
Cs: 0.5000 0.0000 0.0000  2 Ca 4.18
K: 0.5000 0.5000 0.5000  12 Cs 5.91
Ca: 0.0000 0.0000 0.0000  6 Cs 4.18

***

Entry 5:
Computed, not measured: a geometry-optimized CsK2Ca structure at the PBE level of DFT.

Values from the calculation:
* ΔE to the lowest computed polymorph: 0.0091 eV/atom
* ΔE_f: 0.61 eV/f.u.
* V: 69.025 Å³ per atom

Lattice parameters (Å, degrees): 15.7931 15.7931 15.7931 16.47 16.47 16.47
Last column: nearest neighbours and their distance in Å.
Element x y z (fractional)
Cs: 0.0000 0.0000 0.0000  6 Cs 4.52, 6 K 5.06-5.07
K: 0.2404 0.2404 0.2404  3 Ca 4.33, 6 K 4.52
K: 0.4260 0.4260 0.4260  3 Ca 4.33, 6 K 4.52
Ca: 0.8332 0.8332 0.8332  6 K 4.33, 6 Ca 4.52

***

Entry 6:
Computed, not measured: a geometry-optimized CsK2Ca structure at the PBE level of DFT.

Values from the calculation:
* ΔE to the lowest computed polymorph: 0.0000 eV/atom
* ΔE_f: 0.57 eV/f.u.
* V: 70.568 Å³ per atom

Lattice parameters (Å, degrees): 4.5669 4.5669 13.5342 90.00 90.00 90.00
Last column: nearest neighbours and their distance in Å.
Element x y z (fractional)
Cs: 0.0000 0.0000 0.0000  4 Cs 4.57, 8 K 5.08
K: 0.5000 0.5000 0.2900  4 Ca 4.30, 4 K 4.57
K: 0.5000 0.5000 0.7100  4 Ca 4.30, 4 K 4.57
Ca: 0.0000 0.0000 0.5000  8 K 4.30, 4 Ca 4.57

***

Entry 7:
Computed, not measured: a geometry-optimized CsK2Ca structure at the PBE level of DFT.

Values from the calculation:
* ΔE to the lowest computed polymorph: 0.1158 eV/atom
* ΔE_f: 1.04 eV/f.u.
* V: 75.019 Å³ per atom

Lattice parameters (Å, degrees): 9.3368 9.3368 9.3368 103.19 103.19 122.94
Last column: nearest neighbours and their distance in Å.
Element x y z (fractional)
Cs: 0.0000 0.0000 0.0000  4 K 4.38, 2 Ca 4.46
Cs: 0.7500 0.2500 0.5000  4 K 4.38, 2 Ca 4.46
K: 0.1416 0.6250 0.0166  2 Ca 4.12, 2 Cs 4.38, 2 K 4.48
K: 0.3750 0.3916 0.5166  2 Ca 4.12, 2 Cs 4.38, 2 K 4.48
K: 0.6084 0.1250 0.9834  2 Ca 4.12, 2 Cs 4.38, 2 K 4.48
K: 0.8750 0.8584 0.4834  2 Ca 4.12, 2 Cs 4.38, 2 K 4.48
Ca: 0.2500 0.7500 0.5000  4 K 4.12, 2 Cs 4.46
Ca: 0.5000 0.5000 0.0000  4 K 4.12, 2 Cs 4.46

***

Entry 8:
Computed, not measured: a geometry-optimized CsK2Ca structure at the PBE level of DFT.

Values from the calculation:
* ΔE to the lowest computed polymorph: 0.0167 eV/atom
* ΔE_f: 0.64 eV/f.u.
* V: 68.894 Å³ per atom

Lattice parameters (Å, degrees): 7.3044 7.3044 7.3044 60.00 60.00 60.00
Last column: nearest neighbours and their distance in Å.
Element x y z (fractional)
Cs: 0.0000 0.0000 0.0000  8 K 4.47
K: 0.2500 0.2500 0.2500  4 Ca 4.47, 4 Cs 4.47
K: 0.7500 0.7500 0.7500  4 Ca 4.47, 4 Cs 4.47
Ca: 0.5000 0.5000 0.5000  8 K 4.47

***

Repeat the fourth record exactly.
Computed, not measured: a geometry-optimized Cs3KCa structure at the PBE level of DFT.

Values from the calculation:
* ΔE to the lowest computed polymorph: 0.0000 eV/atom
* ΔE_f: 1.57 eV/f.u.
* V: 117.062 Å³ per atom

Lattice parameters (Å, degrees): 8.3649 8.3649 8.3649 90.00 90.00 90.00
Last column: nearest neighbours and their distance in Å.
Element x y z (fractional)
Cs: 0.0000 0.0000 0.5000  2 Ca 4.18
Cs: 0.0000 0.5000 0.0000  2 Ca 4.18
Cs: 0.5000 0.0000 0.0000  2 Ca 4.18
K: 0.5000 0.5000 0.5000  12 Cs 5.91
Ca: 0.0000 0.0000 0.0000  6 Cs 4.18

***

Q: The lowest V belongs to which entry?
A: CsKCa4

***

Q: Which value of V does entry 3 give?
A: 71.052 Å³ per atom